No. 1
# Na4Pa4O11

A geometry-optimized Na4Pa4O11 structure (GGA-PBE, OQMD).

Symmetry: Pm, No. 6
DFT total energy (eV/f.u.): -144.25

Cell lengths 5.8197, 6.0107, 8.3810 Å; angles 90.00, 90.00, 90.08 degrees
With the nearest neighbours (Å) after each atom.
Sites, in units of the cell vectors:
Pa: 0.9957 0.5020 0.5044  5 O 2.18-2.20
Pa: 0.5006 0.0006 0.4983  6 O 2.19-2.21
Pa: 0.5006 0.0006 0.0017  6 O 2.19-2.21
Pa: 0.9957 0.5020 0.9956  5 O 2.18-2.20
O: 0.8829 0.5509 0.7500  2 Pa 2.18, 1 Na 2.36
O: 0.1904 0.1973 0.5521  2 Pa 2.19-2.21, 1 Na 2.41
O: 0.1904 0.1973 0.9479  2 Pa 2.19-2.21, 1 Na 2.41
O: 0.3103 0.6931 0.9449  2 Pa 2.20-2.21, 1 Na 2.39
O: 0.6061 0.0463 0.7500  2 Pa 2.21, 1 Na 2.39
O: 0.8094 0.8047 0.4398  2 Pa 2.19-2.21, 1 Na 2.35
O: 0.6969 0.3027 0.0624  2 Pa 2.18-2.20, 1 Na 2.38
O: 0.3103 0.6931 0.5551  2 Pa 2.20-2.21, 1 Na 2.39
O: 0.3945 0.9520 0.2500  2 Pa 2.19, 1 Na 2.39
O: 0.6969 0.3027 0.4376  2 Pa 2.18-2.20, 1 Na 2.38
O: 0.8094 0.8047 0.0602  2 Pa 2.19-2.21, 1 Na 2.35
Na: 0.4887 0.4612 0.7500  4 O 2.36-2.59
Na: 0.0078 0.9661 0.7500  4 O 2.39-2.60
Na: 0.9930 0.0321 0.2500  3 O 2.35-2.39
Na: 0.5083 0.5374 0.2500  3 O 2.38-2.58

---

No. 2
# TlTeWAuSe2

A geometry-optimized TlTeWAuSe2 structure (GGA-PBE, OQMD).

Symmetry: Cmcm, No. 63
DFT total energy (eV/f.u.): -28.52

Cell lengths 8.3988, 8.3988, 10.4113 Å; angles 90.00, 90.00, 155.68 degrees
With the nearest neighbours (Å) after each atom.
Sites, in units of the cell vectors:
Se: 0.8854 0.1146 0.4755  1 Au 2.52, 2 W 2.60
Se: 0.8854 0.1146 0.0245  1 Au 2.52, 2 W 2.60
Se: 0.1146 0.8854 0.5245  1 Au 2.52, 2 W 2.60
Se: 0.1146 0.8854 0.9755  1 Au 2.52, 2 W 2.60
W: 0.5000 0.5000 0.5000  4 Se 2.60
W: 0.5000 0.5000 0.0000  4 Se 2.60
Tl: 0.2682 0.7318 0.2500  2 Au 3.34, 4 Se 3.51, 2 Tl 3.54, 2 Te 3.57
Tl: 0.7318 0.2682 0.7500  2 Au 3.34, 4 Se 3.51, 2 Tl 3.54, 2 Te 3.57
Au: 0.9408 0.0592 0.2500  2 Se 2.52
Au: 0.0592 0.9408 0.7500  2 Se 2.52
Te: 0.4205 0.5795 0.7500  2 Au 2.88, 2 W 2.91
Te: 0.5795 0.4205 0.2500  2 Au 2.88, 2 W 2.91

---

No. 3
# InTcB2

A geometry-optimized InTcB2 structure (GGA-PBE, OQMD).

Symmetry: F-43m, No. 216
DFT total energy (eV/f.u.): -19.51

Cell lengths 4.2055, 4.2055, 4.2055 Å; angles 60.00, 60.00, 60.00 degrees
With the nearest neighbours (Å) after each atom.
Sites, in units of the cell vectors:
B: 0.5000 0.5000 0.5000  4 B 2.58, 4 In 2.58
B: 0.2500 0.2500 0.2500  4 B 2.58, 4 Tc 2.58
Tc: 0.0000 0.0000 0.0000  4 In 2.58, 4 B 2.58
In: 0.7500 0.7500 0.7500  4 Tc 2.58, 4 B 2.58

---

No. 4
# Ho3Bi2Se

A geometry-optimized Ho3Bi2Se structure (GGA-PBE, OQMD).

Symmetry: P-3m1, No. 164
DFT total energy (eV/f.u.): -32.06

Cell lengths 4.3183, 4.3183, 10.5400 Å; angles 90.00, 90.00, 120.00 degrees
With the nearest neighbours (Å) after each atom.
Sites, in units of the cell vectors:
Bi: 0.6667 0.3333 0.1760  6 Ho 3.11
Bi: 0.3333 0.6667 0.8240  6 Ho 3.11
Se: 0.0000 0.0000 0.5000  6 Ho 2.94
Ho: 0.0000 0.0000 0.0000  6 Bi 3.11
Ho: 0.6667 0.3333 0.6476  3 Se 2.94, 3 Bi 3.11
Ho: 0.3333 0.6667 0.3524  3 Se 2.94, 3 Bi 3.11